1.
Pm4P2SeS (GGA-PBE, optimized geometry); total magnetization = 0.000 μB/f.u.; DFT total energy = -6.495 eV per atom; formation energy from raw total energies = -14.53 eV per formula unit; N(E_F) = 2.6 states/eV per cell
1.0
-2.915 2.915 5.850
2.915 -2.915 5.850
2.915 2.915 -5.850
Pm P Se S
4 2 1 1
Direct
0.005 0.505 0.500
0.242 0.242 0.000
0.495 0.995 0.500
0.758 0.758 0.000
0.000 0.000 0.000
0.250 0.750 0.500
0.500 0.500 0.000
0.750 0.250 0.500

2.
Pm8PSe3S4 (GGA-PBE, optimized geometry); total magnetization = 0.000 μB/f.u.; DFT total energy = -6.325 eV per atom; formation energy from raw total energies = -30.83 eV per formula unit; N(E_F) = 6.1 states/eV per cell
1.0
4.112 2.374 6.714
-4.112 2.374 6.714
0.000 -4.748 6.714
Pm P Se S
8 1 3 4
Direct
0.231 0.754 0.754
0.242 0.242 0.242
0.246 0.246 0.769
0.246 0.769 0.246
0.754 0.231 0.754
0.754 0.754 0.231
0.758 0.758 0.758
0.769 0.246 0.246
0.000 0.000 0.000
0.000 0.500 0.500
0.500 0.000 0.500
0.500 0.500 0.000
0.000 0.000 0.500
0.000 0.500 0.000
0.500 0.000 0.000
0.500 0.500 0.500

3.
Pm6SiP2S3 (GGA-PBE, optimized geometry); total magnetization = 0.000 μB/f.u.; DFT total energy = -6.464 eV per atom; formation energy from raw total energies = -20.44 eV per formula unit; N(E_F) = 3.8 states/eV per cell
1.0
8.970 -2.058 0.000
8.970 2.058 0.000
-1.891 0.000 8.001
Pm Si P S
6 1 2 3
Direct
0.001 0.001 0.249
0.332 0.332 0.421
0.334 0.334 0.913
0.666 0.666 0.087
0.668 0.668 0.579
0.999 0.999 0.751
0.500 0.500 0.000
0.167 0.167 0.335
0.833 0.833 0.665
0.167 0.167 0.832
0.500 0.500 0.500
0.833 0.833 0.168

4.
Pm6Si2PS3 (GGA-PBE, optimized geometry); total magnetization = 0.000 μB/f.u.; DFT total energy = -6.302 eV per atom; formation energy from raw total energies = -18.48 eV per formula unit; N(E_F) = 2.4 states/eV per cell
1.0
9.010 -2.067 0.000
9.010 2.067 0.000
-1.890 0.000 8.057
Pm Si P S
6 2 1 3
Direct
0.001 0.001 0.246
0.334 0.334 0.417
0.335 0.335 0.916
0.665 0.665 0.084
0.666 0.666 0.583
0.999 0.999 0.754
0.166 0.166 0.333
0.834 0.834 0.667
0.500 0.500 0.000
0.166 0.166 0.834
0.500 0.500 0.500
0.834 0.834 0.166